Entry from Alexandria via LeMat-Bulk: crystalline In3SnAu12 at its relaxed geometry (GGA-PBEsol).

The calculated density comes out at 16.36 g/cm3. The value obtained for the volume is 17.929 A^3/atom. For the total energy, the calculation gives -3.889 eV per atom.

It has space group Pmm2 (No. 25), with a = 4.695 Å, b = 11.971 Å, c = 5.104 Å, α = 90.00°, β = 90.00° and γ = 90.00°. The distinct sites, in fractional coordinates, are In at (0.000, 0.000, 0.000), In at (0.500, 0.249, 0.340), Sn at (0.000, 0.500, 0.005), Au at (0.000, 0.124, 0.504), Au at (0.000, 0.247, 0.008), Au at (0.000, 0.371, 0.509), Au at (0.500, 0.000, 0.331), Au at (0.500, 0.123, 0.833), Au at (0.500, 0.373, 0.841) and Au at (0.500, 0.500, 0.349).